(1)
DFT (GGA-PBE) results for Rb3Er3NbO8 after structural relaxation.

a b c (Å): 6.8062 6.8063 7.6617
angles (deg): 116.38 90.00 120.00
Atoms (fractional coordinates):
Er: 0.5000 0.5000 0.5000
Er: 0.5000 0.0000 0.5000
Er: 0.0000 0.5000 0.5000
O: 0.2105 0.4210 0.6606
O: 0.7895 0.5790 0.3394
O: 0.7240 0.4480 0.6720
O: 0.2105 0.9501 0.6606
O: 0.7396 0.9501 0.6606
O: 0.7895 0.0499 0.3394
O: 0.2760 0.5520 0.3280
O: 0.2604 0.0499 0.3394
Nb: 0.0000 0.0000 0.5000
Rb: 0.0000 0.5000 0.0000
Rb: 0.0000 0.0000 0.0000
Rb: 0.5000 0.5000 0.0000

The value obtained for the density of states at the Fermi level is 1.716 states/eV per cell. The calculation puts the formation energy without anion corrections at -2686.1 meV/atom. The crystal system is trigonal. The calculation puts the electronic total energy at -106.62 eV/cell.



(2)
DFT (GGA-PBE) results for K2SrSb after structural relaxation.

a b c (Å): 7.1095 7.1095 7.1095
angles (deg): 137.96 137.96 60.96
Atoms (fractional coordinates):
Sr: 0.7500 0.2500 0.5000
K: 0.0000 0.0000 0.0000
K: 0.5000 0.5000 0.0000
Sb: 0.2500 0.7500 0.5000

The value obtained for the density of states at the Fermi level is 2.100 states/eV per cell. The calculation puts the formation energy without anion corrections at -306.7 meV/atom. The crystal system is tetragonal. The calculation puts the electronic total energy at -9.23 eV/cell.



(3)
DFT (GGA-PBE) results for Eu2TlTe after structural relaxation.

a b c (Å): 4.0595 4.0595 7.6706
angles (deg): 90.00 90.00 90.00
Atoms (fractional coordinates):
Te: 0.5000 0.5000 0.0000
Eu: 0.0000 0.0000 0.2403
Eu: 0.0000 0.0000 0.7597
Tl: 0.5000 0.5000 0.5000

The value obtained for the density of states at the Fermi level is 9.774 states/eV per cell. The calculation puts the formation energy without anion corrections at -894.0 meV/atom. The crystal system is tetragonal. The calculation puts the electronic total energy at -29.63 eV/cell. As for the energy above the most stable polymorph in this dataset: 0 meV/atom.



(4)
DFT (GGA-PBE) results for Cr2RuRh after structural relaxation.

a b c (Å): 4.6193 4.6193 4.6193
angles (deg): 132.64 132.64 69.22
Atoms (fractional coordinates):
Ru: 0.7500 0.2500 0.5000
Cr: 0.0000 0.0000 0.0000
Cr: 0.2500 0.7500 0.5000
Rh: 0.5000 0.5000 0.0000

The value obtained for the density of states at the Fermi level is 4.935 states/eV per cell. The value obtained for the formation enthalpy at 0 K is 0.059 eV per atom. The crystal system is tetragonal. The calculation puts the electronic total energy at -35.64 eV/cell.



(5)
DFT (GGA-PBE) results for Cs2SrTlCl6 after structural relaxation.

a b c (Å): 8.0431 8.0431 8.0412
angles (deg): 59.99 59.99 90.00
Atoms (fractional coordinates):
Cl: 0.2490 0.2490 0.0000
Cl: 0.7510 0.7510 0.0000
Cl: 0.2490 0.7510 0.0000
Cl: 0.2489 0.2489 0.5022
Cl: 0.7511 0.7511 0.4978
Cl: 0.7510 0.2490 0.0000
Cs: 0.7500 0.2500 0.5000
Cs: 0.2500 0.7500 0.5000
Tl: 0.0000 0.0000 0.0000
Sr: 0.5000 0.5000 0.0000

The value obtained for the density of states at the Fermi level is 7.904 states/eV per cell. The calculation puts the formation energy without anion corrections at -1742.1 meV/atom. The crystal system is cubic. The calculation puts the electronic total energy at -34.26 eV/cell.



(6)
DFT (GGA-PBE) results for BaSr2LiRh after structural relaxation.

a b c (Å): 5.9119 5.9119 6.0318
angles (deg): 90.00 90.00 90.00
Atoms (fractional coordinates):
Li: 0.5000 0.5000 0.5000
Ba: 0.0000 0.0000 0.5000
Rh: 0.0000 0.0000 0.0000
Sr: 0.5000 0.0000 0.0000
Sr: 0.0000 0.5000 0.0000

The value obtained for the density of states at the Fermi level is 4.278 states/eV per cell. The value obtained for the formation enthalpy at 0 K is -0.100 eV per atom. The crystal system is tetragonal. The calculation puts the electronic total energy at -15.05 eV/cell. As for the energy above the most stable polymorph in this dataset: 0 meV/atom.



(7)
DFT (GGA-PBE) results for Na2Ga3NiPt4 after structural relaxation.

a b c (Å): 4.0688 4.0688 10.9469
angles (deg): 90.00 90.00 90.00
Atoms (fractional coordinates):
Na: 0.0000 0.5000 0.7432
Na: 0.5000 0.0000 0.2568
Pt: 0.0000 0.5000 0.3639
Pt: 0.5000 0.5000 0.0000
Pt: 0.0000 0.0000 0.0000
Pt: 0.5000 0.0000 0.6361
Ni: 0.5000 0.5000 0.5000
Ga: 0.5000 0.0000 0.8599
Ga: 0.0000 0.5000 0.1401
Ga: 0.0000 0.0000 0.5000

The value obtained for the density of states at the Fermi level is 4.417 states/eV per cell. The value obtained for the formation enthalpy at 0 K is -0.467 eV per atom. The crystal system is tetragonal. The calculation puts the electronic total energy at -46.33 eV/cell.



(8)
DFT (GGA-PBE) results for PuTc2B4 after structural relaxation.

a b c (Å): 5.6241 4.5269 6.8722
angles (deg): 109.23 99.77 90.00
Atoms (fractional coordinates):
B: 0.1693 0.0905 0.7617
B: 0.0811 0.1705 0.2994
B: 0.8307 0.9095 0.2383
B: 0.6693 0.6712 0.7617
B: 0.3307 0.3288 0.2383
B: 0.5811 0.1289 0.2994
B: 0.9189 0.8295 0.7006
B: 0.4189 0.8711 0.7006
Tc: 0.3916 0.2792 0.5657
Tc: 0.1084 0.7136 0.4343
Tc: 0.8916 0.2864 0.5657
Tc: 0.6084 0.7208 0.4343
Pu: 0.7500 0.2693 0.0000
Pu: 0.2500 0.7307 0.0000

The value obtained for the density of states at the Fermi level is 20.309 states/eV per cell. The value obtained for the formation enthalpy at 0 K is -0.293 eV per atom. The crystal system is monoclinic. The calculation puts the electronic total energy at -127.66 eV/cell.



(9)
DFT (GGA-PBE) results for AlCuSe2 after structural relaxation.

a b c (Å): 7.5714 7.5714 7.5714
angles (deg): 29.23 29.23 29.23
Atoms (fractional coordinates):
Se: 0.2146 0.2146 0.2146
Se: 0.0472 0.0472 0.0472
Cu: 0.7480 0.7480 0.7480
Al: 0.4902 0.4902 0.4902

The value obtained for the density of states at the Fermi level is 0.517 states/eV per cell. The calculation puts the formation energy without anion corrections at -297.7 meV/atom. The crystal system is trigonal. The calculation puts the electronic total energy at -16.00 eV/cell.



(10)
DFT (GGA-PBE) results for Pu2HfS3 after structural relaxation.

a b c (Å): 8.5243 8.5243 8.5243
angles (deg): 153.90 153.90 37.24
Atoms (fractional coordinates):
Hf: 0.0000 0.0000 0.0000
Pu: 0.3366 0.3366 0.0000
Pu: 0.6634 0.6634 0.0000
S: 0.5000 0.5000 0.0000
S: 0.8376 0.8376 0.0000
S: 0.1624 0.1624 0.0000

The value obtained for the density of states at the Fermi level is 16.295 states/eV per cell. The calculation puts the formation energy without anion corrections at -1554.9 meV/atom. The crystal system is tetragonal. The calculation puts the electronic total energy at -60.33 eV/cell.



(11)
DFT (GGA-PBE) results for Y2TcIr after structural relaxation.

a b c (Å): 6.7892 6.7892 6.7892
angles (deg): 36.72 36.72 36.72
Atoms (fractional coordinates):
Ir: 0.4490 0.4490 0.4490
Tc: 0.8007 0.8007 0.8007
Y: 0.0295 0.0295 0.0295
Y: 0.2208 0.2208 0.2208

The value obtained for the density of states at the Fermi level is 6.372 states/eV per cell. The value obtained for the formation enthalpy at 0 K is -0.186 eV per atom. The crystal system is trigonal. The calculation puts the electronic total energy at -32.90 eV/cell.



(12)
DFT (GGA-PBE) results for Ca3Sc5 after structural relaxation.

a b c (Å): 7.0605 7.0605 4.7673
angles (deg): 90.00 90.00 91.35
Atoms (fractional coordinates):
Sc: 0.2337 0.7663 0.5000
Sc: 0.5000 0.0000 0.0000
Sc: 0.0000 0.5000 0.0000
Sc: 0.7663 0.2337 0.5000
Sc: 0.0000 0.0000 0.0000
Ca: 0.2455 0.2455 0.5000
Ca: 0.7545 0.7545 0.5000
Ca: 0.5000 0.5000 0.0000

The value obtained for the density of states at the Fermi level is 11.499 states/eV per cell. The value obtained for the formation enthalpy at 0 K is 0.249 eV per atom. The crystal system is orthorhombic. The calculation puts the electronic total energy at -35.67 eV/cell. As for the energy above the most stable polymorph in this dataset: 0 meV/atom.



(13)
DFT (GGA-PBE) results for NpTaRu2 after structural relaxation.

a b c (Å): 4.6208 4.6208 4.6208
angles (deg): 60.00 60.00 60.00
Atoms (fractional coordinates):
Ta: 0.5000 0.5000 0.5000
Ru: 0.2500 0.2500 0.2500
Ru: 0.7500 0.7500 0.7500
Np: 0.0000 0.0000 0.0000

The value obtained for the density of states at the Fermi level is 5.912 states/eV per cell. The value obtained for the formation enthalpy at 0 K is -0.073 eV per atom. The crystal system is cubic. The calculation puts the electronic total energy at -43.64 eV/cell. As for the energy above the most stable polymorph in this dataset: 107 meV/atom.